Run P
Below is a relaxed CePa2Mo crystal, with properties calculated at the PBE-GGA level.

Cell: 3.1559 3.1559 10.7753 Å, 81.58 81.58 60.00°
With the nearest neighbours (Å) after each atom.
Sites, in units of the cell vectors:
Ce (0.0000, 0.0000, 0.0000)  2 Pa 3.00, 6 Ce 3.16
Pa (0.9057, 0.9057, 0.2828)  3 Mo 2.94, 1 Ce 3.00, 6 Pa 3.16
Pa (0.0943, 0.0943, 0.7172)  3 Mo 2.94, 1 Ce 3.00, 6 Pa 3.16
Mo (0.5000, 0.5000, 0.5000)  6 Pa 2.94, 6 Mo 3.16


Run Q
Below is a relaxed CePa2Mo crystal, with properties calculated at the PBE-GGA level.

Cell: 3.2969 5.1909 5.1909 Å, 90.00 90.00 90.00°
With the nearest neighbours (Å) after each atom.
Sites, in units of the cell vectors:
Mo (0.5000, 0.5000, 0.5000)  8 Pa 3.07, 2 Mo 3.30
Pa (0.0000, 0.0000, 0.5000)  4 Mo 3.07, 4 Ce 3.07, 2 Pa 3.30
Ce (0.5000, 0.0000, 0.0000)  8 Pa 3.07, 2 Ce 3.30
Pa (0.0000, 0.5000, 0.0000)  4 Mo 3.07, 4 Ce 3.07, 2 Pa 3.30


Of them, run P has the lowest stability.


Run P
Below is a relaxed CePa2Mo crystal, with properties calculated at the PBE-GGA level.

Cell: 5.0069 5.0069 5.0069 Å, 60.00 60.00 60.00°
With the nearest neighbours (Å) after each atom.
Sites, in units of the cell vectors:
Pa (0.2500, 0.2500, 0.2500)  4 Ce 3.07, 4 Mo 3.07
Ce (0.0000, 0.0000, 0.0000)  8 Pa 3.07
Pa (0.7500, 0.7500, 0.7500)  4 Mo 3.07, 4 Ce 3.07
Mo (0.5000, 0.5000, 0.5000)  8 Pa 3.07


Run Q
Below is a relaxed CePa2Mo crystal, with properties calculated at the PBE-GGA level.

Cell: 3.4488 3.4488 7.8250 Å, 90.00 90.00 90.00°
With the nearest neighbours (Å) after each atom.
Sites, in units of the cell vectors:
Ce (0.5000, 0.5000, 0.5000)  8 Pa 3.27, 4 Ce 3.45
Pa (0.0000, 0.0000, 0.7777)  4 Mo 3.00, 4 Ce 3.27
Mo (0.5000, 0.5000, 0.0000)  8 Pa 3.00
Pa (0.0000, 0.0000, 0.2223)  4 Mo 3.00, 4 Ce 3.27


Of them, run P has the lowest stability.


Run P
Below is a relaxed CeReMo crystal, with properties calculated at the PBE-GGA level.

Cell: 5.3648 5.3648 5.3047 Å, 106.12 106.12 116.79°
With the nearest neighbours (Å) after each atom.
Sites, in units of the cell vectors:
Ce (0.3437, 0.6563, 0.0000)  4 Re 2.79, 1 Ce 2.86
Re (0.2500, 0.7500, 0.5000)  4 Ce 2.79, 2 Re 2.81, 4 Mo 2.84
Mo (0.8523, 0.8523, 0.7045)  1 Mo 2.66, 4 Re 2.84
Ce (0.6563, 0.3437, 0.0000)  4 Re 2.79, 1 Ce 2.86
Re (0.7500, 0.2500, 0.5000)  4 Ce 2.79, 2 Re 2.81, 4 Mo 2.84
Mo (0.1477, 0.1477, 0.2955)  1 Mo 2.66, 4 Re 2.84


Run Q
Below is a relaxed CeReMo crystal, with properties calculated at the PBE-GGA level.

Cell: 3.1236 3.1236 6.3565 Å, 104.22 104.22 90.00°
With the nearest neighbours (Å) after each atom.
Sites, in units of the cell vectors:
Ce (0.9977, 0.9977, 0.9954)  4 Ce 3.12, 4 Re 3.16, 4 Mo 3.22
Mo (0.6937, 0.6937, 0.3873)  4 Re 2.60
Re (0.3086, 0.3086, 0.6173)  4 Mo 2.60


Run R
Below is a relaxed CeReMo crystal, with properties calculated at the PBE-GGA level.

Cell: 5.8820 5.3862 5.3862 Å, 64.21 56.90 56.90°
With the nearest neighbours (Å) after each atom.
Sites, in units of the cell vectors:
Mo (0.0000, 0.0000, 0.0000)  4 Re 2.69, 2 Mo 2.94, 2 Ce 3.01
Ce (0.1266, 0.6234, 0.6234)  2 Re 2.97, 2 Mo 3.01
Ce (0.8734, 0.3766, 0.3766)  2 Re 2.97, 2 Mo 3.01
Re (0.5000, 0.0000, 0.5000)  4 Mo 2.69, 2 Re 2.86, 2 Ce 2.97
Mo (0.5000, 0.0000, 0.0000)  4 Re 2.69, 2 Mo 2.94, 2 Ce 3.01
Re (0.5000, 0.5000, 0.0000)  4 Mo 2.69, 2 Re 2.86, 2 Ce 2.97


Of them, run P has the lowest stability.


Run P
Below is a relaxed CeTcMo crystal, with properties calculated at the PBE-GGA level.

Cell: 3.1178 3.1178 6.3112 Å, 104.30 104.30 90.00°
With the nearest neighbours (Å) after each atom.
Sites, in units of the cell vectors:
Mo (0.3063, 0.3063, 0.6125)  4 Tc 2.59
Ce (0.0021, 0.0021, 0.0041)  4 Ce 3.12, 4 Tc 3.14, 4 Mo 3.20
Tc (0.6917, 0.6917, 0.3833)  4 Mo 2.59


Run Q
Below is a relaxed CeTcMo crystal, with properties calculated at the PBE-GGA level.

Cell: 4.4546 4.4546 7.6176 Å, 73.00 73.00 60.00°
With the nearest neighbours (Å) after each atom.
Sites, in units of the cell vectors:
Tc (0.7897, 0.7897, 0.6310)  4 Mo 2.46-2.64
Mo (0.9042, 0.9042, 0.2875)  4 Tc 2.46-2.64
Ce (0.6315, 0.6315, 0.1054)  3 Mo 2.88, 3 Ce 2.98, 3 Tc 3.19
Mo (0.0958, 0.0958, 0.7125)  4 Tc 2.46-2.64
Ce (0.3685, 0.3685, 0.8946)  3 Mo 2.88, 3 Ce 2.98, 3 Tc 3.19
Tc (0.2103, 0.2103, 0.3690)  4 Mo 2.46-2.64


Of them, run Q has the lowest stability.


Run P
Below is a relaxed CeTh2Mo crystal, with properties calculated at the PBE-GGA level.

Cell: 3.5808 3.5808 8.0846 Å, 90.00 90.00 90.00°
With the nearest neighbours (Å) after each atom.
Sites, in units of the cell vectors:
Mo (0.5000, 0.5000, 0.0000)  8 Th 3.10
Th (0.0000, 0.0000, 0.2202)  4 Mo 3.10, 4 Ce 3.40
Ce (0.5000, 0.5000, 0.5000)  8 Th 3.40, 4 Ce 3.58
Th (0.0000, 0.0000, 0.7798)  4 Mo 3.10, 4 Ce 3.40


Run Q
Below is a relaxed CeTh2Mo crystal, with properties calculated at the PBE-GGA level.

Cell: 3.4308 3.4308 10.9381 Å, 80.98 80.98 60.00°
With the nearest neighbours (Å) after each atom.
Sites, in units of the cell vectors:
Ce (0.0000, 0.0000, 0.0000)  2 Th 3.14, 6 Ce 3.43
Mo (0.5000, 0.5000, 0.5000)  6 Th 2.99
Th (0.0974, 0.0974, 0.7077)  3 Mo 2.99, 1 Ce 3.14
Th (0.9026, 0.9026, 0.2923)  3 Mo 2.99, 1 Ce 3.14


Of them, run Q has the lowest stability.


Run P
Below is a relaxed CeUMo crystal, with properties calculated at the PBE-GGA level.

Cell: 3.4450 3.4450 5.7389 Å, 107.47 107.47 90.00°
With the nearest neighbours (Å) after each atom.
Sites, in units of the cell vectors:
Ce (0.0112, 0.0112, 0.0224)  4 U 2.96, 5 Mo 3.17
Mo (0.3161, 0.3161, 0.6322)  4 U 2.86, 5 Ce 3.17
U (0.6727, 0.6727, 0.3454)  4 Mo 2.86, 4 Ce 2.96


Run Q
Below is a relaxed CeUMo crystal, with properties calculated at the PBE-GGA level.

Cell: 5.2567 3.2355 7.4629 Å, 91.17 105.44 86.35°
With the nearest neighbours (Å) after each atom.
Sites, in units of the cell vectors:
Mo (0.7407, 0.7764, 0.9791)  1 U 2.53, 1 Ce 2.81
Mo (0.2593, 0.2236, 0.0209)  1 U 2.53, 1 Ce 2.81
Ce (0.1221, 0.6532, 0.6813)  2 Mo 2.81-3.06, 1 Ce 2.86, 3 U 2.95-3.09
U (0.6032, 0.1421, 0.6695)  1 Mo 2.53, 1 U 2.64
Ce (0.8779, 0.3468, 0.3187)  2 Mo 2.81-3.06, 1 Ce 2.86, 3 U 2.95-3.09
U (0.3968, 0.8579, 0.3305)  1 Mo 2.53, 1 U 2.64


Of them, run Q has the lowest stability.


Run P
Below is a relaxed CeV2Mo crystal, with properties calculated at the PBE-GGA level.

Cell: 3.0818 3.0818 7.4256 Å, 90.00 90.00 90.00°
With the nearest neighbours (Å) after each atom.
Sites, in units of the cell vectors:
Ce (0.5000, 0.5000, 0.5000)  4 Ce 3.08, 8 V 3.15
Mo (0.5000, 0.5000, 0.0000)  8 V 2.61
V (0.0000, 0.0000, 0.1928)  4 Mo 2.61, 1 V 2.86
V (0.0000, 0.0000, 0.8072)  4 Mo 2.61, 1 V 2.86


Run Q
Below is a relaxed CeV2Mo crystal, with properties calculated at the PBE-GGA level.

Cell: 4.2678 4.2678 5.6198 Å, 67.68 67.68 60.00°
With the nearest neighbours (Å) after each atom.
Sites, in units of the cell vectors:
Ce (0.5000, 0.5000, 0.5000)  8 V 3.07-3.16
V (0.2973, 0.2973, 0.1081)  3 Mo 2.52, 3 V 2.70
Mo (0.0000, 0.0000, 0.0000)  6 V 2.52
V (0.7027, 0.7027, 0.8919)  3 Mo 2.52, 3 V 2.70


Of them, run Q has the lowest stability.


Run P
Below is a relaxed Ce3N crystal, with properties calculated at the PBE-GGA level.

Cell: 3.2558 5.7732 5.5327 Å, 121.45 107.11 90.00°
With the nearest neighbours (Å) after each atom.
Sites, in units of the cell vectors:
Ce (0.5000, 0.3840, 0.0000)  2 N 2.41
N (0.0000, 0.0756, 0.0000)  6 Ce 2.41-2.60
Ce (0.6777, 0.0313, 0.3555)  2 N 2.60
Ce (0.3223, 0.6758, 0.6445)  2 N 2.60


Run Q
Below is a relaxed Ce3N crystal, with properties calculated at the PBE-GGA level.

Cell: 3.5575 3.5575 7.4624 Å, 103.79 103.79 90.00°
With the nearest neighbours (Å) after each atom.
Sites, in units of the cell vectors:
N (0.0000, 0.0000, 0.0000)  6 Ce 2.34-2.52
Ce (0.1668, 0.1668, 0.3336)  1 N 2.34
Ce (0.8332, 0.8332, 0.6664)  1 N 2.34
Ce (0.5000, 0.5000, 0.0000)  4 N 2.52


Of them, run P has the lowest stability.


Run P
Below is a relaxed NaCeN crystal, with properties calculated at the PBE-GGA level.

Cell: 4.7610 4.7480 6.4296 Å, 90.07 90.03 90.00°
With the nearest neighbours (Å) after each atom.
Sites, in units of the cell vectors:
N (0.2494, 0.7491, 0.0585)  4 Ce 2.40-2.41, 1 Na 2.54
Ce (0.2501, 0.2498, 0.9983)  4 N 2.40-2.41
Na (0.2498, 0.7497, 0.4531)  1 N 2.54
Ce (0.7499, 0.7502, 0.0017)  4 N 2.40-2.41
N (0.7506, 0.2509, 0.9415)  4 Ce 2.40-2.41, 1 Na 2.54
Na (0.7502, 0.2503, 0.5469)  1 N 2.54


Run Q
Below is a relaxed NaCeN crystal, with properties calculated at the PBE-GGA level.

Cell: 3.6104 3.6102 12.7670 Å, 81.87 90.03 60.02°
With the nearest neighbours (Å) after each atom.
Sites, in units of the cell vectors:
Ce (0.8016, 0.4227, 0.5637)  3 N 2.29
Na (0.3180, 0.4155, 0.0889)  3 N 2.77
Na (0.0615, 0.9020, 0.3446)  3 N 2.77
N (0.4433, 0.1394, 0.4890)  3 Ce 2.29
N (0.6025, 0.8448, 0.9441)  3 Ce 2.29
Ce (0.9109, 0.2281, 0.8695)  3 N 2.29


Of them, run P has the lowest stability.


Run P
Below is a relaxed Ce2NbN3 crystal, with properties calculated at the PBE-GGA level.

Cell: 4.8269 6.7835 5.9226 Å, 106.64 114.05 90.00°
With the nearest neighbours (Å) after each atom.
Sites, in units of the cell vectors:
N (0.5001, 0.7500, 0.0000)  4 Ce 2.41, 2 Nb 2.41
Ce (0.3333, 0.9167, 0.6667)  6 N 2.41-2.54
Nb (0.0000, 0.2500, 0.0000)  6 N 2.29-2.41
Nb (0.0000, 0.7500, 0.0000)  6 N 2.29-2.41
Ce (0.3333, 0.4167, 0.6667)  6 N 2.41-2.54
N (0.8505, 0.9253, 0.7010)  2 Nb 2.29, 4 Ce 2.42-2.54
N (0.1495, 0.0747, 0.2990)  2 Nb 2.29, 4 Ce 2.42-2.54
Ce (0.6667, 0.0833, 0.3333)  6 N 2.41-2.54
N (0.8505, 0.4253, 0.7010)  2 Nb 2.29, 4 Ce 2.42-2.54
Ce (0.6667, 0.5833, 0.3333)  6 N 2.41-2.54
N (0.1495, 0.5747, 0.2990)  2 Nb 2.29, 4 Ce 2.42-2.54
N (0.4999, 0.2500, 0.0000)  4 Ce 2.41, 2 Nb 2.41


Run Q
Below is a relaxed Ce2NbN3 crystal, with properties calculated at the PBE-GGA level.

Cell: 5.4231 6.1191 12.5267 Å, 87.45 84.24 63.70°
With the nearest neighbours (Å) after each atom.
Sites, in units of the cell vectors:
N (0.1390, 0.2032, 0.9651)  1 Nb 2.07
N (0.5110, 0.3646, 0.1123)  1 Nb 2.07
N (0.3586, 0.2829, 0.7500)  2 Nb 2.15
Ce (0.5831, 0.4033, 0.3632)  5 N 2.41-2.64
N (0.1244, 0.3646, 0.3877)  1 Nb 2.07
Ce (0.3347, 0.7836, 0.0711)  3 N 2.36-2.62
Ce (0.1183, 0.2164, 0.5711)  3 N 2.36-2.62
N (0.6414, 0.7171, 0.2500)  2 Nb 2.15
N (0.0205, 0.9591, 0.7500)  2 Nb 1.97
N (0.9795, 0.0409, 0.2500)  2 Nb 1.97
Nb (0.3021, 0.9872, 0.8293)  4 N 1.97-2.15
N (0.3422, 0.7968, 0.4651)  1 Nb 2.07
Ce (0.4169, 0.5967, 0.6368)  5 N 2.41-2.64
Nb (0.7108, 0.9872, 0.6707)  4 N 1.97-2.15
Ce (0.9864, 0.5967, 0.8632)  5 N 2.41-2.64
N (0.4890, 0.6354, 0.8877)  1 Nb 2.07
N (0.8610, 0.7968, 0.0349)  1 Nb 2.07
Nb (0.2892, 0.0128, 0.3293)  4 N 1.97-2.15
N (0.6578, 0.2032, 0.5349)  1 Nb 2.07
N (0.8756, 0.6354, 0.6123)  1 Nb 2.07
Ce (0.0136, 0.4033, 0.1368)  5 N 2.41-2.64
Ce (0.6653, 0.2164, 0.9289)  3 N 2.36-2.62
Ce (0.8817, 0.7836, 0.4289)  3 N 2.36-2.62
Nb (0.6979, 0.0128, 0.1707)  4 N 1.97-2.15


Of them, run Q has the lowest stability.


Run P
Below is a relaxed Ce2Nb2N5 crystal, with properties calculated at the PBE-GGA level.

Cell: 4.2576 6.0743 5.6000 Å, 112.32 90.00 110.52°
With the nearest neighbours (Å) after each atom.
Sites, in units of the cell vectors:
Ce (0.3930, 0.7860, 0.6618)  4 N 2.33-2.61
Nb (0.8446, 0.6892, 0.1164)  5 N 1.96-2.13
N (0.3560, 0.7120, 0.1218)  3 Nb 2.13
N (0.0000, 0.0000, 0.0000)  2 Nb 2.12
N (0.1719, 0.3438, 0.5486)  1 Nb 1.96
N (0.6440, 0.2880, 0.8782)  3 Nb 2.13
Ce (0.6070, 0.2140, 0.3382)  4 N 2.33-2.61
N (0.8281, 0.6562, 0.4514)  1 Nb 1.96
Nb (0.1554, 0.3108, 0.8836)  5 N 1.96-2.13


Run Q
Below is a relaxed Ce2Nb2N5 crystal, with properties calculated at the PBE-GGA level.

Cell: 3.4332 7.3862 6.0710 Å, 57.10 73.58 76.56°
With the nearest neighbours (Å) after each atom.
Sites, in units of the cell vectors:
Ce (0.6732, 0.7891, 0.8646)  8 N 2.43-2.67
N (0.0000, 0.0000, 0.0000)  2 Nb 2.09
Nb (0.9410, 0.7310, 0.3869)  5 N 2.05-2.19
N (0.1220, 0.5493, 0.2066)  2 Nb 2.05-2.19
N (0.8780, 0.4507, 0.7934)  2 Nb 2.05-2.19
Ce (0.3268, 0.2109, 0.1354)  8 N 2.43-2.67
N (0.6616, 0.1678, 0.5090)  2 Nb 2.07
N (0.3384, 0.8322, 0.4910)  2 Nb 2.07
Nb (0.0590, 0.2690, 0.6131)  5 N 2.05-2.19


Of them, run Q has the lowest stability.


Run P
Below is a relaxed Ce2NbN4 crystal, with properties calculated at the PBE-GGA level.

Cell: 6.7720 6.7720 6.7731 Å, 59.99 59.99 89.99°
With the nearest neighbours (Å) after each atom.
Sites, in units of the cell vectors:
N (0.2387, 0.7462, 0.5075)  1 Nb 2.01
N (0.2462, 0.7387, 0.0075)  1 Nb 2.01
N (0.2463, 0.2538, 0.0075)  1 Nb 2.01
Ce (0.5000, 0.0000, 0.5000)  6 N 2.43
Ce (0.5000, 0.0000, 0.0000)  6 N 2.43
Nb (0.1250, 0.3750, 0.2500)  4 N 2.01
N (0.7538, 0.2613, 0.9925)  1 Nb 2.01
N (0.7613, 0.2538, 0.4925)  1 Nb 2.01
Ce (0.0000, 0.0000, 0.0000)  6 N 2.43
N (0.7538, 0.7463, 0.5075)  1 Nb 2.01
Nb (0.8750, 0.6250, 0.7500)  4 N 2.01
N (0.2462, 0.2537, 0.4925)  1 Nb 2.01
Ce (0.5000, 0.5000, 0.5000)  6 N 2.43
N (0.7537, 0.7462, 0.9925)  1 Nb 2.01


Run Q
Below is a relaxed Ce2NbN4 crystal, with properties calculated at the PBE-GGA level.

Cell: 6.0314 6.1016 6.7685 Å, 90.00 109.58 90.00°
With the nearest neighbours (Å) after each atom.
Sites, in units of the cell vectors:
Nb (0.2133, 0.7500, 0.1869)  4 N 1.92-1.99
N (0.0098, 0.2500, 0.6613)  1 Nb 1.95
Ce (0.6588, 0.7500, 0.0133)  4 N 2.32-2.46
N (0.9902, 0.7500, 0.3387)  1 Nb 1.95
N (0.9933, 0.2500, 0.1002)  1 Nb 1.92
N (0.4524, 0.9885, 0.2502)  1 Nb 1.99
N (0.5476, 0.0115, 0.7498)  1 Nb 1.99
N (0.5476, 0.4885, 0.7498)  1 Nb 1.99
Ce (0.3412, 0.2500, 0.9867)  4 N 2.32-2.46
Ce (0.2428, 0.2500, 0.4511)  2 N 2.31-2.35
Nb (0.7867, 0.2500, 0.8131)  4 N 1.92-1.99
N (0.4524, 0.5115, 0.2502)  1 Nb 1.99
N (0.0067, 0.7500, 0.8998)  1 Nb 1.92
Ce (0.7572, 0.7500, 0.5489)  2 N 2.31-2.35


Of them, run Q has the lowest stability.